Entry 1:
Computed, not measured: a relaxed structure of ScBe2ZnPb at the GGA-PBE level of DFT.

Its symmetry is P4/mmm (123). The energy comes out at -2.55 eV per atom. The value obtained for the volume is 122.6 Å³ per cell. The calculation puts the density of states at the Fermi level at 5.0 states/eV/f.u. For the energy of formation, the calculation gives 1.20 eV per atom. For the total magnetization, the calculation gives 0.35 μB/f.u.

a = 4.8941 Å, b = 4.8941 Å, c = 5.1192 Å
α = 90.00°, β = 90.00°, γ = 90.00°
Last column: nearest neighbours and their distance in Å.
Element x y z (fractional)
1 Sc 0.0000 0.0000 0.0000  4 Be 2.45, 2 Zn 2.56
2 Be 0.0000 0.5000 0.0000  2 Sc 2.45
3 Be 0.5000 0.0000 0.0000  2 Sc 2.45
4 Zn 0.0000 0.0000 0.5000  2 Sc 2.56
5 Pb 0.5000 0.5000 0.5000  4 Zn 3.46, 8 Be 3.54

---

Entry 2:
Computed, not measured: a relaxed structure of ThZr2I2Cl4 at the GGA-PBE level of DFT.

Its symmetry is P3m1 (156). The energy comes out at -5.23 eV per atom. The value obtained for the volume is 271.0 Å³ per cell. Its raw formation energy is -1338 meV per atom. The calculation puts the density of states at the Fermi level at 2.1 states/eV/f.u. For the total magnetization, the calculation gives 0.00 μB/f.u.

a = 3.6238 Å, b = 3.6238 Å, c = 23.8298 Å
α = 90.00°, β = 90.00°, γ = 120.00°
Last column: nearest neighbours and their distance in Å.
Element x y z (fractional)
1 Th 0.0000 0.0000 0.0000  6 I 3.20
2 Zr 0.0000 0.0000 0.6410  6 Cl 2.66
3 Zr 0.6667 0.3333 0.3434  6 Cl 2.66
4 I 0.6667 0.3333 0.1015  3 Th 3.20
5 I 0.6667 0.3333 0.8985  3 Th 3.20
6 Cl 0.0000 0.0000 0.2745  3 Zr 2.66
7 Cl 0.0000 0.0000 0.4123  3 Zr 2.66
8 Cl 0.6667 0.3333 0.5721  3 Zr 2.66
9 Cl 0.6667 0.3333 0.7099  3 Zr 2.66